Compound: BaSiPd
Source: the Alexandria database
Functional: PBEsol
Structure: optimized geometry

Calculated values
* E_form (uncorrected): -0.747 eV/atom

Cell: 6.642 6.642 6.642 Å, 90.00 90.00 90.00°
Atoms (fractional coordinates):
Ba: 0.135 0.135 0.135
Ba: 0.365 0.865 0.635
Ba: 0.635 0.365 0.865
Ba: 0.865 0.635 0.365
Si: 0.155 0.345 0.655
Si: 0.345 0.655 0.155
Si: 0.655 0.155 0.345
Si: 0.845 0.845 0.845
Pd: 0.094 0.594 0.906
Pd: 0.406 0.406 0.406
Pd: 0.594 0.906 0.094
Pd: 0.906 0.094 0.594



Compound: BaSr2SnPd
Source: the Alexandria database
Functional: PBEsol
Structure: optimized geometry

Calculated values
* energy of formation from the pure elements: -0.41 eV per atom

Cell: 5.788 5.788 5.289 Å, 90.00 90.00 90.00°
Atoms (fractional coordinates):
Ba: 0.000 0.000 0.000
Sr: 0.000 0.500 0.500
Sr: 0.500 0.000 0.500
Sn: 0.500 0.500 0.000
Pd: 0.500 0.500 0.500



Compound: Ba2SrPd2
Source: the Alexandria database
Functional: PBEsol
Structure: optimized geometry

Calculated values
* energy of formation from the pure elements: -0.40 eV per atom

Cell: 8.271 8.271 4.620 Å, 90.00 90.00 90.00°
Atoms (fractional coordinates):
Ba: 0.163 0.337 0.000
Ba: 0.337 0.837 0.000
Ba: 0.663 0.163 0.000
Ba: 0.837 0.663 0.000
Sr: 0.000 0.000 0.500
Sr: 0.500 0.500 0.500
Pd: 0.123 0.623 0.500
Pd: 0.377 0.123 0.500
Pd: 0.623 0.877 0.500
Pd: 0.877 0.377 0.500



Compound: Ba3SrPd
Source: the Alexandria database
Functional: PBEsol
Structure: optimized geometry

Calculated values
* energy of formation from the pure elements: -0.20 eV per atom

Cell: 6.273 6.273 6.273 Å, 90.00 90.00 90.00°
Atoms (fractional coordinates):
Ba: 0.000 0.000 0.500
Ba: 0.000 0.500 0.000
Ba: 0.500 0.000 0.000
Sr: 0.500 0.500 0.500
Pd: 0.000 0.000 0.000



Compound: BaSrPd2
Source: the Alexandria database
Functional: PBEsol
Structure: optimized geometry

Calculated values
* energy of formation from the pure elements: -0.40 eV per atom

Cell: 5.291 5.291 5.291 Å, 60.00 60.00 60.00°
Atoms (fractional coordinates):
Ba: 0.000 0.000 0.000
Sr: 0.500 0.500 0.500
Pd: 0.250 0.250 0.250
Pd: 0.750 0.750 0.750



Compound: Ba3TaPd
Source: the Alexandria database
Functional: PBEsol
Structure: optimized geometry

Calculated values
* energy of formation from the pure elements: 0.83 eV per atom

Cell: 5.926 5.926 5.926 Å, 90.00 90.00 90.00°
Atoms (fractional coordinates):
Ba: 0.000 0.000 0.500
Ba: 0.000 0.500 0.000
Ba: 0.500 0.000 0.000
Ta: 0.500 0.500 0.500
Pd: 0.000 0.000 0.000